Entry 1:
Computed, not measured: a relaxed CaSn2Pb2 crystal at the PBE level of DFT.

Output
The formation energy is -0.685 eV per formula unit. As for the volume: 33.00 Å³/atom. The calculation puts the energy above the most stable polymorph in this dataset at 0.103 eV/atom.

a = 8.1343 Å, b = 8.1343 Å, c = 8.1343 Å
α = 146.30°, β = 146.30°, γ = 48.41°
Element x y z (fractional)
1 Ca 0.0000 0.0000 0.0000
2 Sn 0.4035 0.4035 0.0000
3 Sn 0.5965 0.5965 0.0000
4 Pb 0.2500 0.7500 0.5000
5 Pb 0.7500 0.2500 0.5000

Entry 2:
Computed, not measured: a relaxed Ca2SnPb2 crystal at the PBE level of DFT.

Output
The formation energy is -1.501 eV per formula unit. As for the volume: 33.31 Å³/atom. The calculation puts the energy above the most stable polymorph in this dataset at 0.112 eV/atom.

a = 8.3230 Å, b = 8.3230 Å, c = 8.3230 Å
α = 126.50°, β = 74.30°, γ = 132.51°
Element x y z (fractional)
1 Ca 0.1080 0.1765 0.2845
2 Ca 0.3920 0.6765 0.0685
3 Ca 0.6080 0.3235 0.9315
4 Ca 0.8920 0.8235 0.7155
5 Sn 0.2500 0.7500 0.5000
6 Sn 0.7500 0.2500 0.5000
7 Pb 0.1497 0.7343 0.8840
8 Pb 0.3503 0.2343 0.5845
9 Pb 0.6497 0.7657 0.4155
10 Pb 0.8503 0.2657 0.1160